Record 1
## Co4SiH (PBE)

Data for a geometry-optimized Co4SiH structure.

Unit cell a=3.6628 b=3.6624 c=4.8641 alpha=67.84 beta=90.00 gamma=90.00
With the nearest neighbours (Å) after each atom.
Atoms (fractional coordinates):
Co (0.5013, 0.8660, 0.3439)  2 H 1.83
Co (0.5013, 0.1795, 0.7171)  2 Si 2.31-2.32, 8 Co 2.47-2.59
Co (0.0013, 0.6786, 0.7191)  1 H 1.76
Co (0.0013, 0.3641, 0.3479)  2 H 1.83
Si (0.5013, 0.5221, 0.0317)  8 Co 2.31-2.32
H (0.0014, 0.8734, 0.3291)  5 Co 1.76-1.83

Properties
The relative energy among the computed polymorphs is 0.0388 eV/atom. The calculation puts the total magnetic moment at 4.53 μB per cell. The calculation puts the density of states at the Fermi level at 4.64 states/eV/f.u. Its space group is Amm2 (38).



Record 2
## CsLaHg4Bi2 (PBE)

Data for a geometry-optimized CsLaHg4Bi2 structure.

Unit cell a=4.4768 b=4.4768 c=14.4064 alpha=90.00 beta=90.00 gamma=90.00
With the nearest neighbours (Å) after each atom.
Atoms (fractional coordinates):
Cs (0.0000, 0.0000, 0.0000)  8 Hg 3.81
La (0.0000, 0.0000, 0.5000)  8 Bi 3.51
Hg (0.0000, 0.5000, 0.2144)  4 Hg 3.17, 2 Bi 3.42
Hg (0.5000, 0.0000, 0.7856)  4 Hg 3.17, 2 Bi 3.42
Hg (0.5000, 0.0000, 0.2144)  4 Hg 3.17, 2 Bi 3.42
Hg (0.0000, 0.5000, 0.7856)  4 Hg 3.17, 2 Bi 3.42
Bi (0.5000, 0.5000, 0.3940)  1 Bi 3.05
Bi (0.5000, 0.5000, 0.6060)  1 Bi 3.05

Properties
The calculation puts the total magnetic moment at 0.00 μB per cell. The calculation puts the density of states at the Fermi level at 1.69 states/eV/f.u. As for the energy relative to the elements: -30.9 kJ per mole of atoms. Its space group is P4/mmm (123).



Record 3
## CsDyVCl6 (PBE)

Data for a geometry-optimized CsDyVCl6 structure.

Unit cell a=6.6838 b=6.6837 c=7.9411 alpha=90.00 beta=90.00 gamma=60.00
With the nearest neighbours (Å) after each atom.
Atoms (fractional coordinates):
Cs (0.0000, 0.0000, 0.0000)  6 Cl 3.51
Dy (0.3333, 0.3333, 0.5000)  6 Cl 2.66
V (0.6666, 0.6667, 0.5000)  6 Cl 2.51
Cl (0.9826, 0.3782, 0.3144)  1 V 2.51, 1 Dy 2.66
Cl (0.3782, 0.9827, 0.6856)  1 V 2.51, 1 Dy 2.66
Cl (0.6391, 0.3782, 0.6856)  1 V 2.51, 1 Dy 2.66
Cl (0.9826, 0.6391, 0.6856)  1 V 2.51, 1 Dy 2.66
Cl (0.3782, 0.6391, 0.3144)  1 V 2.51, 1 Dy 2.66
Cl (0.6391, 0.9827, 0.3144)  1 V 2.51, 1 Dy 2.66

Properties
Its total energy is -42.52 eV/cell. The calculation puts the total magnetic moment at 3.00 μB per cell. Its space group is P312 (149).



Record 4
## TlSn (PBE)

Data for a geometry-optimized TlSn structure.

Unit cell a=9.8595 b=9.8595 c=4.5651 alpha=90.00 beta=90.00 gamma=120.00
With the nearest neighbours (Å) after each atom.
Atoms (fractional coordinates):
Tl (0.1522, 0.3044, 0.2500)  4 Tl 3.46, 6 Sn 3.53
Tl (0.8478, 0.1522, 0.7500)  4 Tl 3.46, 6 Sn 3.53
Tl (0.6956, 0.8478, 0.2500)  4 Tl 3.46, 6 Sn 3.53
Tl (0.8478, 0.6956, 0.7500)  4 Tl 3.46, 6 Sn 3.53
Tl (0.1522, 0.8478, 0.2500)  4 Tl 3.46, 6 Sn 3.53
Tl (0.3044, 0.1522, 0.7500)  4 Tl 3.46, 6 Sn 3.53
Sn (0.5589, 0.1179, 0.2500)  4 Sn 3.04-3.19
Sn (0.4410, 0.5589, 0.7500)  4 Sn 3.04-3.19
Sn (0.8821, 0.4410, 0.2500)  4 Sn 3.04-3.19
Sn (0.4410, 0.8821, 0.7500)  4 Sn 3.04-3.19
Sn (0.5589, 0.4410, 0.2500)  4 Sn 3.04-3.19
Sn (0.1179, 0.5589, 0.7500)  4 Sn 3.04-3.19

Properties
The calculation puts the total magnetic moment at 0.00 μB per cell. The calculation puts the density of states at the Fermi level at 1.10 states/eV/f.u. As for the energy relative to the elements: 4.1 kJ per mole of atoms. Its space group is P6_3/mmc (194).



Record 5
## CeTcP (PBE)

Data for a geometry-optimized CeTcP structure.

Unit cell a=3.9531 b=4.1379 c=4.1379 alpha=120.00 beta=90.00 gamma=90.00
With the nearest neighbours (Å) after each atom.
Atoms (fractional coordinates):
P (0.1667, 0.0000, 0.0000)  3 Tc 2.39
Tc (0.1667, 0.3333, 0.6667)  3 P 2.39
Ce (0.6666, 0.6667, 0.3333)  6 Tc 3.10, 6 P 3.10

Properties
The relative energy among the computed polymorphs is 0.1387 eV/atom. The calculation puts the total magnetic moment at 0.17 μB per cell. The calculation puts the density of states at the Fermi level at 6.92 states/eV/f.u. As for the energy relative to the elements: -68.9 kJ per mole of atoms. Its space group is P-6m2 (187).



Record 6
## PrPuTlZn (PBE)

Data for a geometry-optimized PrPuTlZn structure.

Unit cell a=5.3614 b=5.3614 c=5.3614 alpha=60.00 beta=60.00 gamma=60.00
With the nearest neighbours (Å) after each atom.
Atoms (fractional coordinates):
Pr (0.2500, 0.2500, 0.2500)  4 Zn 3.28, 4 Tl 3.28
Tl (0.5000, 0.5000, 0.5000)  4 Pu 3.28, 4 Pr 3.28
Zn (0.0000, 0.0000, 0.0000)  4 Pr 3.28, 4 Pu 3.28
Pu (0.7500, 0.7500, 0.7500)  4 Tl 3.28, 4 Zn 3.28

Properties
The calculation puts the total magnetic moment at 6.42 μB per cell. The calculation puts the density of states at the Fermi level at 9.05 states/eV/f.u. As for the energy relative to the elements: -12.5 kJ per mole of atoms. Its space group is F-43m (216).



What is the total magnetic moment in the first record? 4.53 μB per cell